1 | {
  "formula": "BaTl2I",
  "functional": "PBE-GGA",
  "state": "relaxed",
  "magmom_total_mub_per_fu": 0.00,
  "lattice": [[-1.921, 8.365, 5.114], [-8.136, 1.548, -5.588], [-6.886, 3.178, 1.975]],
  "species": ["Tl", "Ba", "Tl", "Ba", "Tl", "I", "I", "Tl"],
  "frac_coords": [[0.875, 0.856, 0.750], [0.750, 0.250, 0.500], [0.606, 0.125, 0.250], [0.000, 0.000, 0.000], [0.144, 0.625, 0.250], [0.250, 0.750, 0.500], [0.500, 0.500, 0.000], [0.375, 0.394, 0.750]]
}



2 | {
  "formula": "BaTl2I",
  "functional": "PBE-GGA",
  "state": "relaxed",
  "magmom_total_mub_per_fu": 0.00,
  "lattice": [[-4.339, 2.958, 2.879], [-0.642, 5.900, -0.801], [-4.708, 2.114, -3.038]],
  "species": ["Ba", "Tl", "Tl", "I"],
  "frac_coords": [[0.500, 0.500, 0.500], [0.750, 0.750, 0.750], [0.250, 0.250, 0.250], [0.000, 0.000, 0.000]]
}



Which of them is the most stable? Correct choice: 1.



1 | {
  "formula": "Ba2TlI2",
  "functional": "PBE-GGA",
  "state": "relaxed",
  "magmom_total_mub_per_fu": 0.00,
  "lattice": [[5.502, 0.000, 0.000], [0.000, 5.502, 0.000], [2.751, 2.751, 8.445]],
  "species": ["Ba", "I", "Tl", "Ba", "I"],
  "frac_coords": [[0.623, 0.623, 0.755], [0.750, 0.250, 0.500], [0.000, 0.000, 0.000], [0.377, 0.377, 0.245], [0.250, 0.750, 0.500]]
}



2 | {
  "formula": "Ba2TlI2",
  "functional": "PBE-GGA",
  "state": "relaxed",
  "magmom_total_mub_per_fu": 0.00,
  "lattice": [[-6.049, 5.594, -5.575], [-6.918, -7.140, 0.341], [-1.619, 1.736, 3.498]],
  "species": ["Ba", "Tl", "Tl", "Ba", "I", "Ba", "I", "I", "Ba", "I"],
  "frac_coords": [[0.671, 0.829, 0.500], [0.000, 0.000, 0.000], [0.500, 0.500, 0.000], [0.829, 0.329, 0.500], [0.870, 0.630, 0.000], [0.329, 0.171, 0.500], [0.370, 0.870, 0.000], [0.630, 0.130, 0.000], [0.171, 0.671, 0.500], [0.130, 0.370, 0.000]]
}



Which of them is the most stable? Correct choice: 2.



1 | {
  "formula": "BaTlI3",
  "functional": "PBE-GGA",
  "state": "relaxed",
  "magmom_total_mub_per_fu": 0.00,
  "lattice": [[-2.195, 5.514, 3.177], [-4.832, -3.631, 2.964], [4.141, -1.314, 5.142]],
  "species": ["I", "I", "Ba", "Tl", "I"],
  "frac_coords": [[0.500, 0.000, 0.000], [0.000, 0.000, 0.500], [0.000, 0.000, 0.000], [0.500, 0.500, 0.500], [0.000, 0.500, 0.000]]
}



2 | {
  "formula": "BaTlI3",
  "functional": "PBE-GGA",
  "state": "relaxed",
  "magmom_total_mub_per_fu": 0.00,
  "lattice": [[-2.582, -3.034, -2.992], [-1.926, -3.053, 8.952], [-8.455, 6.725, 0.475]],
  "species": ["I", "Ba", "I", "I", "I", "I", "Ba", "Tl", "I", "Tl"],
  "frac_coords": [[0.606, 0.716, 0.250], [0.244, 0.987, 0.250], [0.165, 0.831, 0.936], [0.165, 0.831, 0.564], [0.835, 0.169, 0.064], [0.394, 0.284, 0.750], [0.756, 0.013, 0.750], [0.020, 0.535, 0.750], [0.835, 0.169, 0.436], [0.980, 0.465, 0.250]]
}



Which of them is the most stable? Correct choice: 2.



1 | {
  "formula": "BaTl2I2",
  "functional": "PBE-GGA",
  "state": "relaxed",
  "magmom_total_mub_per_fu": 0.00,
  "lattice": [[-5.009, -1.682, 3.997], [1.836, -6.355, -0.373], [1.387, -3.394, 5.801]],
  "species": ["Tl", "Tl", "Ba", "I", "I"],
  "frac_coords": [[0.345, 0.345, 0.309], [0.655, 0.655, 0.691], [0.000, 0.000, 0.000], [0.250, 0.750, 0.500], [0.750, 0.250, 0.500]]
}



2 | {
  "formula": "BaTl2I2",
  "functional": "PBE-GGA",
  "state": "relaxed",
  "magmom_total_mub_per_fu": 0.00,
  "lattice": [[-2.676, -0.128, -3.580], [-2.655, -2.929, 2.089], [-8.349, 6.450, 3.216]],
  "species": ["Ba", "I", "Tl", "I", "Tl"],
  "frac_coords": [[0.000, 0.000, 0.000], [0.591, 0.591, 0.819], [0.750, 0.250, 0.500], [0.409, 0.409, 0.181], [0.250, 0.750, 0.500]]
}



Which of them is the most stable? Correct choice: 2.



1 | {
  "formula": "BaTl3I",
  "functional": "PBE-GGA",
  "state": "relaxed",
  "magmom_total_mub_per_fu": 0.00,
  "lattice": [[6.310, 0.000, 0.000], [0.000, 6.310, 0.000], [0.000, 0.000, 6.310]],
  "species": ["Ba", "Tl", "Tl", "Tl", "I"],
  "frac_coords": [[0.500, 0.500, 0.500], [0.000, 0.500, 0.000], [0.000, 0.000, 0.500], [0.500, 0.000, 0.000], [0.000, 0.000, 0.000]]
}



2 | {
  "formula": "BaTl3I",
  "functional": "PBE-GGA",
  "state": "relaxed",
  "magmom_total_mub_per_fu": 0.00,
  "lattice": [[6.662, 0.000, 0.000], [0.000, 6.662, 0.000], [0.000, 0.000, 6.662]],
  "species": ["Ba", "Tl", "Tl", "I", "Tl"],
  "frac_coords": [[0.000, 0.000, 0.000], [0.000, 0.000, 0.500], [0.000, 0.500, 0.000], [0.500, 0.500, 0.500], [0.500, 0.000, 0.000]]
}



Which of them is the most stable? Correct choice: 1.



1 | {
  "formula": "BaUI6",
  "functional": "PBE-GGA",
  "state": "relaxed",
  "magmom_total_mub_per_fu": 2.00,
  "lattice": [[7.997, 0.014, 0.007], [3.993, 6.940, 0.010], [3.982, 2.306, 7.364]],
  "species": ["I", "I", "I", "I", "Ba", "I", "U", "I"],
  "frac_coords": [[0.055, 0.399, 0.765], [0.219, 0.946, 0.235], [0.781, 0.054, 0.765], [0.400, 0.781, 0.765], [0.500, 0.500, 0.500], [0.945, 0.601, 0.235], [0.000, 0.000, 0.000], [0.600, 0.219, 0.235]]
}



2 | {
  "formula": "BaUI6",
  "functional": "PBE-GGA",
  "state": "relaxed",
  "magmom_total_mub_per_fu": 2.00,
  "lattice": [[-4.174, -4.199, -5.676], [3.837, -7.197, -0.866], [-6.987, -4.512, 8.827]],
  "species": ["I", "I", "Ba", "Ba", "I", "I", "I", "U", "I", "I", "I", "U", "I", "I", "I", "I"],
  "frac_coords": [[0.443, 0.868, 0.775], [0.277, 0.612, 0.398], [0.982, 0.018, 0.750], [0.018, 0.982, 0.250], [0.388, 0.723, 0.102], [0.132, 0.557, 0.725], [0.878, 0.796, 0.000], [0.000, 0.500, 0.500], [0.796, 0.878, 0.500], [0.868, 0.443, 0.275], [0.723, 0.388, 0.602], [0.500, 0.000, 0.000], [0.557, 0.132, 0.225], [0.122, 0.204, 0.000], [0.204, 0.122, 0.500], [0.612, 0.277, 0.898]]
}



Which of them is the most stable? Correct choice: 2.



1 | {
  "formula": "Ba2VI",
  "functional": "PBE-GGA",
  "state": "relaxed",
  "magmom_total_mub_per_fu": 5.67,
  "lattice": [[0.000, 4.305, 4.305], [4.305, 0.000, 4.305], [4.305, 4.305, 0.000]],
  "species": ["Ba", "V", "Ba", "I"],
  "frac_coords": [[0.250, 0.250, 0.250], [0.000, 0.000, 0.000], [0.750, 0.750, 0.750], [0.500, 0.500, 0.500]]
}



2 | {
  "formula": "Ba2VI",
  "functional": "PBE-GGA",
  "state": "relaxed",
  "magmom_total_mub_per_fu": 5.57,
  "lattice": [[9.144, 0.000, 0.000], [0.000, 9.144, 0.000], [4.572, 4.572, 4.603]],
  "species": ["Ba", "V", "V", "Ba", "I", "I", "Ba", "Ba"],
  "frac_coords": [[0.134, 0.625, 0.250], [0.250, 0.750, 0.500], [0.500, 0.500, 0.000], [0.375, 0.384, 0.750], [0.750, 0.250, 0.500], [0.000, 0.000, 0.000], [0.616, 0.125, 0.250], [0.875, 0.866, 0.750]]
}



Which of them is the most stable? Correct choice: 1.



1 | {
  "formula": "BaVI2",
  "functional": "PBE-GGA",
  "state": "relaxed",
  "magmom_total_mub_per_fu": 4.99,
  "lattice": [[0.000, 4.126, 4.126], [4.126, 0.000, 4.126], [4.126, 4.126, 0.000]],
  "species": ["Ba", "I", "V", "I"],
  "frac_coords": [[0.500, 0.500, 0.500], [0.750, 0.750, 0.750], [0.000, 0.000, 0.000], [0.250, 0.250, 0.250]]
}



2 | {
  "formula": "BaVI2",
  "functional": "PBE-GGA",
  "state": "relaxed",
  "magmom_total_mub_per_fu": 4.93,
  "lattice": [[6.260, 0.000, 0.000], [0.000, 6.260, 0.000], [3.130, 3.130, 8.783]],
  "species": ["Ba", "I", "V", "I", "V", "I", "Ba", "I"],
  "frac_coords": [[0.000, 0.000, 0.000], [0.200, 0.625, 0.250], [0.250, 0.750, 0.500], [0.375, 0.450, 0.750], [0.500, 0.500, 0.000], [0.875, 0.800, 0.750], [0.750, 0.250, 0.500], [0.550, 0.125, 0.250]]
}



Which of them is the most stable? Correct choice: 2.



1 | {
  "formula": "BaV3I",
  "functional": "PBE-GGA",
  "state": "relaxed",
  "magmom_total_mub_per_fu": 7.83,
  "lattice": [[-4.864, 0.271, 1.749], [0.851, -4.126, 3.006], [1.552, 3.113, 3.833]],
  "species": ["V", "V", "I", "V", "Ba"],
  "frac_coords": [[0.500, 0.000, 0.000], [0.000, 0.000, 0.500], [0.500, 0.500, 0.500], [0.000, 0.500, 0.000], [0.000, 0.000, 0.000]]
}



2 | {
  "formula": "BaV3I",
  "functional": "PBE-GGA",
  "state": "relaxed",
  "magmom_total_mub_per_fu": 6.69,
  "lattice": [[-2.109, 2.768, -3.737], [2.988, -2.337, -3.418], [-3.564, -3.598, -0.654]],
  "species": ["Ba", "V", "V", "I", "V"],
  "frac_coords": [[0.500, 0.500, 0.500], [0.500, 0.000, 0.000], [0.000, 0.000, 0.500], [0.000, 0.000, 0.000], [0.000, 0.500, 0.000]]
}



Which of them is the most stable? Correct choice: 2.



1 | {
  "formula": "BaWI2",
  "functional": "PBE-GGA",
  "state": "relaxed",
  "magmom_total_mub_per_fu": 6.00,
  "lattice": [[0.000, 4.189, 4.189], [4.189, 0.000, 4.189], [4.189, 4.189, 0.000]],
  "species": ["I", "Ba", "I", "W"],
  "frac_coords": [[0.250, 0.250, 0.250], [0.000, 0.000, 0.000], [0.750, 0.750, 0.750], [0.500, 0.500, 0.500]]
}



2 | {
  "formula": "BaWI2",
  "functional": "PBE-GGA",
  "state": "relaxed",
  "magmom_total_mub_per_fu": 0.14,
  "lattice": [[6.298, 0.000, 0.000], [0.000, 6.298, 0.000], [3.149, 3.149, 7.876]],
  "species": ["I", "W", "Ba", "I", "I", "Ba", "I", "W"],
  "frac_coords": [[0.875, 0.976, 0.750], [0.750, 0.250, 0.500], [0.250, 0.750, 0.500], [0.375, 0.274, 0.750], [0.726, 0.125, 0.250], [0.500, 0.500, 0.000], [0.024, 0.625, 0.250], [0.000, 0.000, 0.000]]
}



Which of them is the most stable? Correct choice: 1.



1 | {
  "formula": "BaWI3",
  "functional": "PBE-GGA",
  "state": "relaxed",
  "magmom_total_mub_per_fu": 3.24,
  "lattice": [[5.666, 0.000, 0.000], [0.000, 5.666, 0.000], [0.000, 0.000, 5.666]],
  "species": ["I", "I", "Ba", "I", "W"],
  "frac_coords": [[0.000, 0.500, 0.000], [0.500, 0.000, 0.000], [0.500, 0.500, 0.500], [0.000, 0.000, 0.500], [0.000, 0.000, 0.000]]
}



2 | {
  "formula": "BaWI3",
  "functional": "PBE-GGA",
  "state": "relaxed",
  "magmom_total_mub_per_fu": 5.00,
  "lattice": [[6.710, 0.000, 0.000], [0.000, 6.710, 0.000], [0.000, 0.000, 6.710]],
  "species": ["I", "Ba", "W", "I", "I"],
  "frac_coords": [[0.000, 0.500, 0.000], [0.000, 0.000, 0.000], [0.500, 0.500, 0.500], [0.500, 0.000, 0.000], [0.000, 0.000, 0.500]]
}



Which of them is the most stable? Correct choice: 1.



1 | {
  "formula": "Ba2WI",
  "functional": "PBE-GGA",
  "state": "relaxed",
  "magmom_total_mub_per_fu": 3.00,
  "lattice": [[8.882, 0.000, 0.000], [0.000, 8.882, 0.000], [4.441, 4.441, 4.425]],
  "species": ["Ba", "W", "I", "W", "Ba", "Ba", "I", "Ba"],
  "frac_coords": [[0.375, 0.346, 0.750], [0.750, 0.250, 0.500], [0.250, 0.750, 0.500], [0.000, 0.000, 0.000], [0.654, 0.125, 0.250], [0.875, 0.904, 0.750], [0.500, 0.500, 0.000], [0.096, 0.625, 0.250]]
}



2 | {
  "formula": "Ba2WI",
  "functional": "PBE-GGA",
  "state": "relaxed",
  "magmom_total_mub_per_fu": 3.64,
  "lattice": [[0.000, 4.220, 4.220], [4.220, 0.000, 4.220], [4.220, 4.220, 0.000]],
  "species": ["Ba", "Ba", "W", "I"],
  "frac_coords": [[0.750, 0.750, 0.750], [0.250, 0.250, 0.250], [0.500, 0.500, 0.500], [0.000, 0.000, 0.000]]
}



Which of them is the most stable? Correct choice: 2.



1 | {
  "formula": "BaYI3",
  "functional": "PBE-GGA",
  "state": "relaxed",
  "magmom_total_mub_per_fu": 0.00,
  "lattice": [[5.977, 0.000, 0.000], [0.000, 5.977, 0.000], [0.000, 0.000, 5.977]],
  "species": ["I", "I", "I", "Y", "Ba"],
  "frac_coords": [[0.000, 0.500, 0.000], [0.000, 0.000, 0.500], [0.500, 0.000, 0.000], [0.000, 0.000, 0.000], [0.500, 0.500, 0.500]]
}



2 | {
  "formula": "BaYI3",
  "functional": "PBE-GGA",
  "state": "relaxed",
  "magmom_total_mub_per_fu": 1.87,
  "lattice": [[-4.200, 2.327, -4.607], [-2.113, -6.194, -1.203], [-4.709, 0.704, 4.648]],
  "species": ["I", "I", "I", "Y", "Ba"],
  "frac_coords": [[0.000, 0.000, 0.500], [0.000, 0.500, 0.000], [0.500, 0.000, 0.000], [0.500, 0.500, 0.500], [0.000, 0.000, 0.000]]
}



Which of them is the most stable? Correct choice: 1.